# CePrDy2Ho4

A relaxed CePrDy2Ho4 crystal (PBE, Alexandria via LeMat-Bulk).

E_form: 0.0485 eV per atom
size of the total moment: 1.02 μB/f.u.
crystal system: orthorhombic
E: -4.730 eV per atom

a b c (Å): 5.051 5.033 11.182
angles (deg): 63.25 90.00 90.00
Each line ends with the local moment (μB).
Positions (direct):
Pr (0.500, 0.500, 0.000)  -0.03
Dy (0.500, 0.000, 0.500)  0.06
Ho (0.000, 0.246, 0.254)  0.04
Dy (0.000, 0.000, 0.000)  -0.05
Ce (0.000, 0.500, 0.500)  0.73
Ho (0.000, 0.754, 0.746)  0.04
Ho (0.500, 0.255, 0.746)  0.04
Ho (0.500, 0.745, 0.254)  0.04